Crystalline Tm3CuBi at its relaxed geometry. Source: the Alexandria database, functional GGA-PBE.

## Properties
E   -4.5820 eV per atom
ΔE_f   -7.00 kcal/mol of atoms
Magnetic moment   0.000 μB per atom

a b c (Å): 6.329 5.202 8.265
angles (deg): 90.00 90.00 90.00
Space group Pmma (No. 51)
One atom of each set of equivalent atoms:
Tm1 0.000 0.000 0.000 x2
Tm2 0.250 0.000 0.379 x2
Tm3 0.250 0.500 0.727 x2
Cu1 0.250 0.000 0.707 x2
Bi1 0.250 0.500 0.148 x2

Crystalline Pr2MgTc at its relaxed geometry. Source: the Alexandria database, functional GGA-PBE.

## Properties
E   -5.1027 eV per atom
ΔE_f   6.39 kcal/mol of atoms
Magnetic moment   0.000 μB per atom

a b c (Å): 3.6363 3.6363 29.2770
angles (deg): 90.00 90.00 120.00
Space group R-3m (No. 166, hexagonal axes)
One atom of each set of equivalent atoms:
Pr1 0.0000 0.0000 0.2361 x6
Mg1 0.0000 0.0000 0.0000 x3
Tc1 0.0000 0.0000 0.5000 x3

Crystalline Er12ThSc7 at its relaxed geometry. Source: the Alexandria database, functional GGA-PBE.

## Properties
E   -5.0798 eV per atom
ΔE_f   5.65 kcal/mol of atoms
Magnetic moment   0.000 μB per atom

a b c (Å): 11.6180 11.6180 15.1946
angles (deg): 90.00 90.00 120.00
Space group R-3 (No. 148, hexagonal axes)
One atom of each set of equivalent atoms:
Er1 0.0105 0.5636 0.2176 x18
Er2 0.0464 0.8578 0.2972 x18
Th1 0.0000 0.0000 0.0000 x3
Sc1 0.0000 0.0000 0.5000 x3
Sc2 0.0435 0.4586 0.5823 x18

Crystalline La6Ge3Se2I at its relaxed geometry. Source: the Alexandria database, functional GGA-PBE.

## Properties
E   -5.6617 eV per atom
ΔE_f (raw)   -128.7 kJ per mole of atoms
Magnetic moment   0.000 μB per atom

a b c (Å): 19.330 4.436 8.901
angles (deg): 90.00 103.18 90.00
Space group C2/m (No. 12)
One atom of each set of equivalent atoms:
La1 0.001 0.000 0.226 x4
La2 0.165 0.500 0.089 x4
La3 0.176 0.500 0.582 x4
Ge1 0.000 0.500 0.000 x2
Ge2 0.164 0.000 0.333 x4
Se1 0.167 0.000 0.834 x4
I1 0.000 0.500 0.500 x2